## AlPW2 (PBE-GGA)

Data for a geometry-optimized AlPW2 structure.

```
data_AlPW2
_chemical_formula_sum 'Al2 P2 W4'
_space_group_name_H-M_alt 'C 1 m 1'
_space_group_IT_number 8
_cell_length_a 8.917
_cell_length_b 3.076
_cell_length_c 4.458
_cell_angle_alpha 90.00
_cell_angle_beta 106.23
_cell_angle_gamma 90.00
loop_
_space_group_symop_operation_xyz
'x,y,z'
'x,-y,z'
'x+1/2,y+1/2,z'
'x+1/2,-y+1/2,z'
loop_
_atom_site_label
_atom_site_type_symbol
_atom_site_fract_x
_atom_site_fract_y
_atom_site_fract_z
_atom_site_occupancy
Al1 Al 0.000 0.000 0.000 1
P1 P 0.256 0.000 0.680 1
W1 W 0.022 0.500 0.522 1
W2 W 0.249 0.500 0.180 1
```

Values from the calculation:
E above lowest polymorph   0.839 eV per formula unit
Raw total energy   -8.75 eV per atom
Total magnetization   0.0 μB per cell